# PBE-GGA Ir2W, relaxed
data_Ir2W
_chemical_formula_sum 'Ir8 W4'
_space_group_name_H-M_alt 'P 1'
_space_group_IT_number 1
_cell_length_a 5.128
_cell_length_b 5.128
_cell_length_c 8.288
_cell_angle_alpha 90.00
_cell_angle_beta 90.00
_cell_angle_gamma 60.00
loop_
_space_group_symop_operation_xyz
'x,y,z'
loop_
_atom_site_label
_atom_site_type_symbol
_atom_site_fract_x
_atom_site_fract_y
_atom_site_fract_z
_atom_site_occupancy
Ir1 Ir 0.000 0.000 0.000 1
Ir2 Ir 0.000 0.000 0.500 1
Ir3 Ir 0.830 0.341 0.750 1
Ir4 Ir 0.341 0.830 0.750 1
Ir5 Ir 0.170 0.170 0.250 1
Ir6 Ir 0.830 0.830 0.750 1
Ir7 Ir 0.659 0.170 0.250 1
Ir8 Ir 0.170 0.659 0.250 1
W1 W 0.667 0.667 0.086 1
W2 W 0.667 0.667 0.414 1
W3 W 0.333 0.333 0.586 1
W4 W 0.333 0.333 0.914 1
# energy of formation from the pure elements	0.198	eV/atom



# PBE-GGA FeTcNi5, relaxed
data_FeTcNi5
_chemical_formula_sum 'Fe2 Tc2 Ni10'
_space_group_name_H-M_alt 'P 1'
_space_group_IT_number 1
_cell_length_a 6.213
_cell_length_b 6.213
_cell_length_c 4.666
_cell_angle_alpha 83.74
_cell_angle_beta 83.74
_cell_angle_gamma 67.73
loop_
_space_group_symop_operation_xyz
'x,y,z'
loop_
_atom_site_label
_atom_site_type_symbol
_atom_site_fract_x
_atom_site_fract_y
_atom_site_fract_z
_atom_site_occupancy
Fe1 Fe 0.000 0.000 0.000 1
Fe2 Fe 0.500 0.500 0.500 1
Tc1 Tc 0.755 0.745 0.750 1
Tc2 Tc 0.245 0.255 0.250 1
Ni1 Ni 0.659 0.050 0.340 1
Ni2 Ni 0.899 0.217 0.518 1
Ni3 Ni 0.550 0.159 0.840 1
Ni4 Ni 0.115 0.385 0.750 1
Ni5 Ni 0.283 0.601 0.982 1
Ni6 Ni 0.717 0.399 0.018 1
Ni7 Ni 0.885 0.615 0.250 1
Ni8 Ni 0.450 0.841 0.160 1
Ni9 Ni 0.101 0.783 0.482 1
Ni10 Ni 0.341 0.950 0.660 1
# energy of formation from the pure elements	0.111	eV/atom